1.
First-principles (PBE) data for a relaxed structure of CoTc2Ni, as listed in Alexandria.

Cell lengths 5.3026, 5.3026, 5.3026 Å; angles 102.94, 102.94, 123.51 degrees
Fractional positions:
Co  0.0000  0.0000  0.0000
Co  0.7500  0.2500  0.5000
Tc  0.1020  0.6250  0.9770
Tc  0.3750  0.3520  0.4770
Tc  0.6480  0.1250  0.0230
Tc  0.8750  0.8980  0.5230
Ni  0.2500  0.7500  0.5000
Ni  0.5000  0.5000  0.0000

Values from the calculation:
* magnetic moment: 0.00 Bohr magnetons per cell
* VASP energy: -7.80 eV/atom
* calculated volume: 109.5 Å³ per cell
* space-group type: I-42d, No. 122
* formation energy from the elements: 2.429 eV/f.u.
* excess energy over the best structure of this formula in the dataset: 644.4 meV/atom

***

2.
First-principles (PBE) data for a relaxed structure of Co2TcNi, as listed in Alexandria.

Cell lengths 4.4425, 4.4425, 4.4425 Å; angles 132.89, 132.89, 68.82 degrees
Fractional positions:
Co  0.0000  0.0000  0.0000
Co  0.7500  0.2500  0.5000
Tc  0.5000  0.5000  0.0000
Ni  0.2500  0.7500  0.5000

Values from the calculation:
* magnetic moment: 1.51 Bohr magnetons per cell
* VASP energy: -7.51 eV/atom
* calculated volume: 46.2 Å³ per cell
* space-group type: I-4m2, No. 119
* formation energy from the elements: 0.314 eV/f.u.
* excess energy over the best structure of this formula in the dataset: 30.8 meV/atom

***

3.
First-principles (PBE) data for a relaxed structure of CoTc2Ni, as listed in Alexandria.

Cell lengths 4.5452, 4.5452, 4.5574 Å; angles 99.58, 99.58, 33.72 degrees
Fractional positions:
Co  0.0000  0.0000  0.0000
Tc  0.2519  0.2519  0.7529
Tc  0.7481  0.7481  0.2471
Ni  0.5000  0.5000  0.5000

Values from the calculation:
* magnetic moment: 1.23 Bohr magnetons per cell
* VASP energy: -8.27 eV/atom
* calculated volume: 51.5 Å³ per cell
* space-group type: C2/m, No. 12
* formation energy from the elements: 0.546 eV/f.u.
* excess energy over the best structure of this formula in the dataset: 173.7 meV/atom

***

4.
First-principles (PBE) data for a relaxed structure of Co2TcNi, as listed in Alexandria.

Cell lengths 4.0520, 4.0520, 4.0520 Å; angles 60.00, 60.00, 60.00 degrees
Fractional positions:
Co  0.2500  0.2500  0.2500
Co  0.7500  0.7500  0.7500
Tc  0.0000  0.0000  0.0000
Ni  0.5000  0.5000  0.5000

Values from the calculation:
* magnetic moment: 2.05 Bohr magnetons per cell
* VASP energy: -7.40 eV/atom
* calculated volume: 47.0 Å³ per cell
* space-group type: Fm-3m, No. 225
* formation energy from the elements: 0.758 eV/f.u.
* excess energy over the best structure of this formula in the dataset: 141.8 meV/atom

***

5.
First-principles (PBE) data for a relaxed structure of CoTc2Ni, as listed in Alexandria.

Cell lengths 8.6097, 8.6097, 8.6097 Å; angles 17.84, 17.84, 17.84 degrees
Fractional positions:
Co  0.0000  0.0000  0.0000
Tc  0.2485  0.2485  0.2485
Tc  0.4959  0.4959  0.4959
Ni  0.7441  0.7441  0.7441

Values from the calculation:
* magnetic moment: 2.25 Bohr magnetons per cell
* VASP energy: -8.28 eV/atom
* calculated volume: 52.3 Å³ per cell
* space-group type: R3m, No. 160
* formation energy from the elements: 0.510 eV/f.u.
* excess energy over the best structure of this formula in the dataset: 164.9 meV/atom

***

6.
First-principles (PBE) data for a relaxed structure of Co2TcNi, as listed in Alexandria.

Cell lengths 2.5554, 3.6309, 5.0574 Å; angles 90.00, 90.00, 90.00 degrees
Fractional positions:
Co  0.0000  0.0000  0.0000
Co  0.5000  0.5000  0.2409
Tc  0.5000  0.5000  0.7481
Ni  0.0000  0.0000  0.4847

Values from the calculation:
* magnetic moment: 2.62 Bohr magnetons per cell
* VASP energy: -7.51 eV/atom
* calculated volume: 46.9 Å³ per cell
* space-group type: Pmm2, No. 25
* formation energy from the elements: 0.322 eV/f.u.
* excess energy over the best structure of this formula in the dataset: 32.9 meV/atom

***

7.
First-principles (PBE) data for a relaxed structure of CoTc2Ni8, as listed in Alexandria.

Cell lengths 6.7350, 6.7350, 5.6972 Å; angles 104.64, 104.64, 30.66 degrees
Fractional positions:
Co  0.0000  0.0000  0.0000
Tc  0.2736  0.2736  0.3675
Tc  0.7264  0.7264  0.6325
Ni  0.0867  0.0867  0.4481
Ni  0.1799  0.1799  0.9144
Ni  0.3680  0.3680  0.8253
Ni  0.4544  0.4544  0.2712
Ni  0.5456  0.5456  0.7288
Ni  0.6320  0.6320  0.1747
Ni  0.8201  0.8201  0.0856
Ni  0.9133  0.9133  0.5519

Values from the calculation:
* magnetic moment: 4.01 Bohr magnetons per cell
* VASP energy: -6.72 eV/atom
* calculated volume: 127.2 Å³ per cell
* space-group type: C2/m, No. 12
* formation energy from the elements: 0.221 eV/f.u.

***

8.
First-principles (PBE) data for a relaxed structure of Co2TcNi, as listed in Alexandria.

Cell lengths 4.4182, 4.4182, 4.4140 Å; angles 99.44, 99.44, 33.56 degrees
Fractional positions:
Co  0.0000  0.0000  0.0000
Co  0.7430  0.7430  0.2423
Tc  0.2475  0.2475  0.7478
Ni  0.4935  0.4935  0.4888

Values from the calculation:
* magnetic moment: 2.36 Bohr magnetons per cell
* VASP energy: -7.50 eV/atom
* calculated volume: 46.9 Å³ per cell
* space-group type: Cm, No. 8
* formation energy from the elements: 0.371 eV/f.u.
* excess energy over the best structure of this formula in the dataset: 44.9 meV/atom

***

9.
First-principles (PBE) data for a relaxed structure of Co2TcNi, as listed in Alexandria.

Cell lengths 2.5632, 2.5632, 7.1964 Å; angles 90.00, 90.00, 90.00 degrees
Fractional positions:
Co  0.0000  0.0000  0.0000
Co  0.5000  0.5000  0.2285
Tc  0.5000  0.5000  0.7358
Ni  0.0000  0.0000  0.4711

Values from the calculation:
* magnetic moment: 3.36 Bohr magnetons per cell
* VASP energy: -7.54 eV/atom
* calculated volume: 47.3 Å³ per cell
* space-group type: P4mm, No. 99
* formation energy from the elements: 0.191 eV/f.u.
* excess energy over the best structure of this formula in the dataset: 0.0 meV/atom

***

10.
First-principles (PBE) data for a relaxed structure of Co2TcNi, as listed in Alexandria.

Cell lengths 4.3639, 4.3639, 4.3639 Å; angles 131.25, 131.25, 71.42 degrees
Fractional positions:
Co  0.2500  0.7500  0.5000
Co  0.7500  0.2500  0.5000
Tc  0.0000  0.0000  0.0000
Ni  0.5000  0.5000  0.0000

Values from the calculation:
* magnetic moment: 0.83 Bohr magnetons per cell
* VASP energy: -7.53 eV/atom
* calculated volume: 46.0 Å³ per cell
* space-group type: I4/mmm, No. 139
* formation energy from the elements: 0.223 eV/f.u.
* excess energy over the best structure of this formula in the dataset: 8.0 meV/atom

***

11.
First-principles (PBE) data for a relaxed structure of Co2Tc2Ni15, as listed in Alexandria.

Cell lengths 6.1414, 6.1414, 6.1414 Å; angles 81.48, 81.48, 81.48 degrees
Fractional positions:
Co  0.0952  0.0952  0.0952
Co  0.9048  0.9048  0.9048
Tc  0.3166  0.3166  0.3166
Tc  0.6834  0.6834  0.6834
Ni  0.0000  0.0000  0.5000
Ni  0.0000  0.3145  0.6855
Ni  0.0000  0.5000  0.0000
Ni  0.0000  0.6855  0.3145
Ni  0.1618  0.6547  0.6547
Ni  0.3145  0.0000  0.6855
Ni  0.3145  0.6855  0.0000
Ni  0.3453  0.3453  0.8382
Ni  0.3453  0.8382  0.3453
Ni  0.5000  0.0000  0.0000
Ni  0.6547  0.1618  0.6547
Ni  0.6547  0.6547  0.1618
Ni  0.6855  0.0000  0.3145
Ni  0.6855  0.3145  0.0000
Ni  0.8382  0.3453  0.3453

Values from the calculation:
* magnetic moment: 17.31 Bohr magnetons per cell
* VASP energy: -6.18 eV/atom
* calculated volume: 224.7 Å³ per cell
* space-group type: R-3m, No. 166
* formation energy from the elements: 4.216 eV/f.u.

***

12.
First-principles (PBE) data for a relaxed structure of Co3TcNi12, as listed in Alexandria.

Cell lengths 3.5378, 3.5378, 14.1576 Å; angles 90.00, 90.00, 90.00 degrees
Fractional positions:
Co  0.0000  0.0000  0.0000
Co  0.0000  0.0000  0.2446
Co  0.0000  0.0000  0.7554
Tc  0.0000  0.0000  0.5000
Ni  0.0000  0.5000  0.1232
Ni  0.0000  0.5000  0.3713
Ni  0.0000  0.5000  0.6287
Ni  0.0000  0.5000  0.8768
Ni  0.5000  0.0000  0.1232
Ni  0.5000  0.0000  0.3713
Ni  0.5000  0.0000  0.6287
Ni  0.5000  0.0000  0.8768
Ni  0.5000  0.5000  0.0000
Ni  0.5000  0.5000  0.2467
Ni  0.5000  0.5000  0.5000
Ni  0.5000  0.5000  0.7533

Values from the calculation:
* magnetic moment: 11.84 Bohr magnetons per cell
* VASP energy: -6.27 eV/atom
* calculated volume: 177.2 Å³ per cell
* space-group type: P4/mmm, No. 123
* formation energy from the elements: 0.690 eV/f.u.

***

13.
First-principles (PBE) data for a relaxed structure of Co2TcNi, as listed in Alexandria.

Cell lengths 4.4153, 4.4153, 2.5524 Å; angles 90.00, 90.00, 109.30 degrees
Fractional positions:
Co  0.0000  0.5000  0.0000
Co  0.5000  0.0000  0.0000
Tc  0.0000  0.0000  0.5000
Ni  0.5000  0.5000  0.5000

Values from the calculation:
* magnetic moment: 2.24 Bohr magnetons per cell
* VASP energy: -7.46 eV/atom
* calculated volume: 47.0 Å³ per cell
* space-group type: Cmmm, No. 65
* formation energy from the elements: 0.517 eV/f.u.
* excess energy over the best structure of this formula in the dataset: 81.7 meV/atom